[1]
HgRhCl2: relaxed, GGA-PBE.

Unit cell a=3.5092 b=3.5092 c=8.6894 alpha=90.00 beta=90.00 gamma=119.81
With the nearest neighbours (Å) after each atom.
Positions (direct):
Hg (0.0000, 0.0000, 0.0000)  2 Cl 2.58, 2 Rh 2.71
Rh (0.5000, 0.5000, 0.2365)  2 Cl 2.32
Cl (0.0000, 0.0000, 0.4108)  2 Rh 2.32
Cl (0.5000, 0.5000, 0.7833)  2 Hg 2.58

Symmetry ... Cmm2, No. 35
Polymorph energy (0 for the lowest one) ... 0.87 eV per formula unit



[2]
Cs2Na2NpS4: relaxed, GGA-PBE.

Unit cell a=8.3332 b=8.3332 c=8.1621 alpha=109.81 beta=109.81 gamma=30.11
With the nearest neighbours (Å) after each atom.
Positions (direct):
Cs (0.1369, 0.1369, 0.0533)  5 S 3.50-3.73, 2 Na 3.90
Cs (0.8631, 0.8631, 0.9467)  5 S 3.50-3.73, 2 Na 3.90
Na (0.3215, 0.3215, 0.5282)  4 S 2.66-2.85
Na (0.6785, 0.6785, 0.4718)  4 S 2.66-2.85
Np (0.0000, 0.0000, 0.5000)  6 S 2.73-2.80
S (0.1803, 0.1803, 0.6621)  3 Na 2.66-2.85, 1 Np 2.73
S (0.4950, 0.4950, 0.7131)  1 Na 2.67, 2 Np 2.80
S (0.5050, 0.5050, 0.2869)  1 Na 2.67, 2 Np 2.80
S (0.8197, 0.8197, 0.3379)  3 Na 2.66-2.85, 1 Np 2.73

Symmetry ... C2/m, No. 12
E_tot ... -44.44 eV/cell



[3]
PtI2Br2: relaxed, GGA-PBE.

Unit cell a=6.3744 b=6.3744 c=4.0270 alpha=90.45 beta=90.45 gamma=96.52
With the nearest neighbours (Å) after each atom.
Positions (direct):
Pt (0.0000, 0.0000, 0.0000)  2 Br 2.52, 4 I 2.70
I (0.1897, 0.8103, 0.5000)  2 Pt 2.70
I (0.8103, 0.1897, 0.5000)  2 Pt 2.70
Br (0.2969, 0.2969, 0.0087)  1 Pt 2.52
Br (0.7031, 0.7031, 0.9913)  1 Pt 2.52

Symmetry ... C2/m, No. 12
E_tot ... -13.33 eV/cell